The following is a GGA-PBE calculation of a relaxed structure of ScHN2F, from the Alexandria database.

a = 3.1143 Å, b = 3.1143 Å, c = 4.0297 Å
α = 90.00°, β = 90.00°, γ = 90.00°
Space group P4/mmm (No. 123)
Symmetry-distinct sites (fractional):
Sc 0.0000 0.0000 0.0000 (multiplicity 1)
H 0.5000 0.5000 0.5000 (multiplicity 1)
N 0.0000 0.5000 0.5000 (multiplicity 2)
F 0.5000 0.5000 0.0000 (multiplicity 1)

Results
Density of states at the Fermi level in states/eV/atom: 0.18
M_tot in μB/atom: 0.000
Energy above the most stable polymorph in this dataset in meV per atom: 0

=====

The following is a GGA-PBE calculation of a relaxed structure of Na2CaIrI, from the Alexandria database.

a = 6.4331 Å, b = 6.4331 Å, c = 4.8441 Å
α = 90.00°, β = 90.00°, γ = 90.00°
Space group P4/mmm (No. 123)
Symmetry-distinct sites (fractional):
Na 0.0000 0.5000 0.0000 (multiplicity 2)
Ca 0.0000 0.0000 0.0000 (multiplicity 1)
Ir 0.0000 0.0000 0.5000 (multiplicity 1)
I 0.5000 0.5000 0.5000 (multiplicity 1)

Results
Density of states at the Fermi level in states/eV/atom: 0.61
Formation energy without anion corrections in eV per atom: 0.538
M_tot in μB/atom: 0.006

=====

The following is a GGA-PBE calculation of a relaxed structure of Y6GaS5, from the Alexandria database.

a = 6.8961 Å, b = 11.8837 Å, c = 6.8689 Å
α = 90.00°, β = 109.38°, γ = 90.00°
Space group C2/m (No. 12)
Symmetry-distinct sites (fractional):
Y 0.2498 0.0000 0.2493 (multiplicity 4)
Y 0.2503 0.1668 0.7502 (multiplicity 8)
Ga 0.0000 0.5000 0.0000 (multiplicity 2)
S 0.0000 0.0000 0.5000 (multiplicity 2)
S 0.0000 0.1666 0.0000 (multiplicity 4)
S 0.0000 0.3326 0.5000 (multiplicity 4)

Results
Density of states at the Fermi level in states/eV/atom: 0.41
Formation energy without anion corrections in eV per atom: -1.786
M_tot in μB/atom: 0.000

=====

The following is a GGA-PBE calculation of a relaxed structure of LaTl2Bi, from the Alexandria database.

a = 8.9386 Å, b = 8.9386 Å, c = 6.6436 Å
α = 90.00°, β = 90.00°, γ = 90.00°
Space group I-42d (No. 122)
Symmetry-distinct sites (fractional):
La 0.0000 0.0000 0.0000 (multiplicity 4)
Tl 0.2348 0.2500 0.6250 (multiplicity 8)
Bi 0.0000 0.0000 0.5000 (multiplicity 4)

Results
Density of states at the Fermi level in states/eV/atom: 0.54
Formation enthalpy at 0 K in eV per formula unit: -1.05
M_tot in μB/atom: 0.000

=====

The following is a GGA-PBE calculation of a relaxed structure of PrGdMgCo, from the Alexandria database.

a = 7.2963 Å, b = 7.2963 Å, c = 7.2963 Å
α = 90.00°, β = 90.00°, γ = 90.00°
Space group F-43m (No. 216)
Symmetry-distinct sites (fractional):
Pr 0.0000 0.0000 0.0000 (multiplicity 4)
Gd 0.0000 0.0000 0.5000 (multiplicity 4)
Mg 0.2500 0.2500 0.2500 (multiplicity 4)
Co 0.2500 0.2500 0.7500 (multiplicity 4)

Results
Density of states at the Fermi level in states/eV/atom: 0.69
Formation enthalpy at 0 K in eV per formula unit: 0.20
M_tot in μB/atom: 1.660

=====

The following is a GGA-PBE calculation of a relaxed structure of Sc2AgTe, from the Alexandria database.

a = 7.6009 Å, b = 7.6009 Å, c = 6.7445 Å
α = 90.00°, β = 90.00°, γ = 90.00°
Space group I-42d (No. 122)
Symmetry-distinct sites (fractional):
Sc 0.2385 0.2500 0.1250 (multiplicity 8)
Ag 0.0000 0.0000 0.0000 (multiplicity 4)
Te 0.0000 0.0000 0.5000 (multiplicity 4)

Results
Density of states at the Fermi level in states/eV/atom: 0.88
Formation energy without anion corrections in eV per atom: -0.331
M_tot in μB/atom: 0.000